1.
VASP calculation (PBE) on crystalline TbNbNi10 at its relaxed geometry.

total DFT energy (no corrections): -74.67 eV for the cell shown
magnetic moment: 2.116 μB/f.u.
DFT formation energy: -0.1795 eV/atom
DOS(E_F): 1.25 states/eV per atom

a b c (Å): 3.969 4.762 8.263
angles (deg): 90.00 90.00 90.00
Space group Pmmm (No. 47)
One atom of each set of equivalent atoms:
Tb: 0.000 0.000 0.000 x1
Nb: 0.000 0.500 0.500 x1
Ni: 0.000 0.000 0.343 x2
Ni: 0.000 0.500 0.181 x2
Ni: 0.500 0.000 0.500 x1
Ni: 0.500 0.255 0.259 x4
Ni: 0.500 0.500 0.000 x1



2.
VASP calculation (PBE) on crystalline Cs2Sb2Br at its relaxed geometry.

total DFT energy (no corrections): -28.87 eV for the cell shown
magnetic moment: 0.000 μB/f.u.
formation energy from raw total energies: -0.56 eV per atom
DOS(E_F): 0.47 states/eV per atom

a b c (Å): 9.945 9.945 5.134
angles (deg): 90.00 90.00 90.00
Space group P4/mbm (No. 127)
One atom of each set of equivalent atoms:
Cs: 0.202 0.298 0.000 x4
Sb: 0.092 0.592 0.500 x4
Br: 0.000 0.000 0.500 x2



3.
VASP calculation (PBE) on crystalline Na4Nb3MoN8 at its relaxed geometry.

total DFT energy (no corrections): -367.47 eV for the cell shown
magnetic moment: 0.000 μB/f.u.
formation energy from raw total energies: -0.60 eV per atom
DOS(E_F): 0.23 states/eV per atom

a b c (Å): 6.2322 6.2322 17.1682
angles (deg): 90.00 90.00 120.00
Space group R-3m (No. 166, hexagonal axes)
One atom of each set of equivalent atoms:
Na: 0.0000 0.0000 0.0000 x3
Na: 0.0000 0.5000 0.0000 x9
Nb: 0.0000 0.5000 0.5000 x9
Mo: 0.0000 0.0000 0.5000 x3
N: 0.0000 0.0000 0.2325 x6
N: 0.0048 0.5024 0.2326 x18



4.
VASP calculation (PBE) on crystalline Zr3Sb4 at its relaxed geometry.

total DFT energy (no corrections): -92.10 eV for the cell shown
magnetic moment: 0.000 μB/f.u.
formation energy from raw total energies: -0.56 eV per atom
DOS(E_F): 0.56 states/eV per atom

a b c (Å): 3.857 3.857 22.252
angles (deg): 90.00 90.00 90.00
Space group I4/mmm (No. 139)
One atom of each set of equivalent atoms:
Zr: 0.000 0.000 0.000 x2
Zr: 0.000 0.000 0.292 x4
Sb: 0.000 0.000 0.156 x4
Sb: 0.000 0.000 0.433 x4



5.
VASP calculation (PBE) on crystalline BeRu2Pb at its relaxed geometry.

total DFT energy (no corrections): -97.94 eV for the cell shown
magnetic moment: 0.000 μB/f.u.
DFT formation energy: 0.3756 eV/atom
DOS(E_F): 1.22 states/eV per atom

a b c (Å): 6.222 6.222 6.222
angles (deg): 90.00 90.00 90.00
Space group Fm-3m (No. 225)
One atom of each set of equivalent atoms:
Be: 0.000 0.000 0.000 x4
Ru: 0.250 0.250 0.250 x8
Pb: 0.000 0.000 0.500 x4



6.
VASP calculation (PBE) on crystalline Pm2Tm at its relaxed geometry.

total DFT energy (no corrections): -27.80 eV for the cell shown
magnetic moment: 0.000 μB/f.u.
DFT formation energy: 0.0243 eV/atom
DOS(E_F): 1.49 states/eV per atom

a b c (Å): 3.602 3.602 15.237
angles (deg): 90.00 90.00 90.00
Space group I4/mmm (No. 139)
One atom of each set of equivalent atoms:
Pm: 0.000 0.000 0.165 x4
Tm: 0.000 0.000 0.500 x2



7.
VASP calculation (PBE) on crystalline ZrSbRu2 at its relaxed geometry.

total DFT energy (no corrections): -62.69 eV for the cell shown
magnetic moment: 0.000 μB/f.u.
formation energy from raw total energies: -0.03 eV per atom
DOS(E_F): 0.84 states/eV per atom

a b c (Å): 5.975 8.774 3.064
angles (deg): 90.00 117.78 90.00
Space group C2/m (No. 12)
One atom of each set of equivalent atoms:
Zr: 0.000 0.000 0.000 x2
Sb: 0.000 0.500 0.000 x2
Ru: 0.250 0.250 0.500 x4



8.
VASP calculation (PBE) on crystalline RbFe3N at its relaxed geometry.

total DFT energy (no corrections): -29.91 eV for the cell shown
magnetic moment: 8.001 μB/f.u.
formation energy from raw total energies: 0.95 eV per atom
DOS(E_F): 1.12 states/eV per atom

a b c (Å): 4.171 4.171 4.171
angles (deg): 90.00 90.00 90.00
Space group Pm-3m (No. 221)
One atom of each set of equivalent atoms:
Rb: 0.000 0.000 0.000 x1
Fe: 0.000 0.500 0.500 x3
N: 0.500 0.500 0.500 x1



9.
VASP calculation (PBE) on crystalline Mn4CdFe at its relaxed geometry.

total DFT energy (no corrections): -175.22 eV for the cell shown
magnetic moment: 5.668 μB/f.u.
DFT formation energy: 0.3752 eV/atom
DOS(E_F): 1.30 states/eV per atom

a b c (Å): 6.724 6.724 6.724
angles (deg): 90.00 90.00 90.00
Space group F-43m (No. 216)
One atom of each set of equivalent atoms:
Mn: 0.125 0.125 0.125 x16
Cd: 0.250 0.250 0.750 x4
Fe: 0.000 0.000 0.500 x4



10.
VASP calculation (PBE) on crystalline Ba2CuTePt at its relaxed geometry.

total DFT energy (no corrections): -21.01 eV for the cell shown
magnetic moment: 0.000 μB/f.u.
formation energy from raw total energies: -0.78 eV per atom
DOS(E_F): 0.23 states/eV per atom

a b c (Å): 6.076 6.076 4.793
angles (deg): 90.00 90.00 90.00
Space group P4/mmm (No. 123)
One atom of each set of equivalent atoms:
Ba: 0.000 0.500 0.000 x2
Cu: 0.000 0.000 0.500 x1
Te: 0.500 0.500 0.500 x1
Pt: 0.000 0.000 0.000 x1



11.
VASP calculation (PBE) on crystalline YIr2Au at its relaxed geometry.

total DFT energy (no corrections): -27.59 eV for the cell shown
magnetic moment: 0.000 μB/f.u.
DFT formation energy: -0.0306 eV/atom
DOS(E_F): 1.44 states/eV per atom

a b c (Å): 2.965 2.965 8.186
angles (deg): 90.00 90.00 90.00
Space group P4mm (No. 99)
One atom of each set of equivalent atoms:
Y: 0.000 0.000 0.000 x1
Ir: 0.000 0.000 0.525 x1
Ir: 0.500 0.500 0.729 x1
Au: 0.500 0.500 0.273 x1



12.
VASP calculation (PBE) on crystalline ScTaNi3 at its relaxed geometry.

total DFT energy (no corrections): -32.15 eV for the cell shown
magnetic moment: 0.000 μB/f.u.
DFT formation energy: 0.6748 eV/atom
DOS(E_F): 0.94 states/eV per atom

a b c (Å): 4.533 4.533 4.533
angles (deg): 90.00 90.00 90.00
Space group Pm-3m (No. 221)
One atom of each set of equivalent atoms:
Sc: 0.000 0.000 0.000 x1
Ta: 0.500 0.500 0.500 x1
Ni: 0.000 0.500 0.500 x3



> Number 6 is which compound?

Pm2Tm



> Look up the DOS(E_F) of the seventh one.

0.84 states/eV per atom



> Which value of DOS(E_F) does entry 8 give?

1.12 states/eV per atom